Entry 1:
The following is a DFT calculation (PBE-GGA) of an optimized crystal structure of PrZn6Pd.

Structure (POSCAR):
```
PrZn6Pd
1.0
4.3955 0.0000 0.0000
0.0000 4.3955 0.0000
0.0000 0.0000 7.7528
Pr Zn Pd
1 6 1
Cartesian
0.0000 0.0000 0.0000 Pr
2.1977 0.0000 5.2372 Zn
0.0000 2.1977 5.2372 Zn
2.1977 2.1977 1.1985 Zn
2.1977 2.1977 6.5543 Zn
0.0000 2.1977 2.5156 Zn
2.1977 0.0000 2.5156 Zn
0.0000 0.0000 3.8764 Pd
```

SG: No. 123
Calculated formation energy, eV per formula unit: -2.32
Total DFT energy (no corrections), eV per atom: -2.493


Entry 2:
The following is a DFT calculation (PBE-GGA) of an optimized crystal structure of PmCu2PdAu5.

Structure (POSCAR):
```
PmCu2PdAu5
1.0
-3.0083 -2.7093 2.6837
-1.0283 -2.7153 -3.8938
5.5430 -4.4979 1.6727
Pm Cu Pd Au
1 2 1 5
Cartesian
2.7715 -2.2489 0.8364 Pm
-1.1591 -3.4094 -0.3458 Cu
2.6656 -6.5130 0.8084 Cu
0.0000 0.0000 0.0000 Pd
0.7458 -2.3801 -1.5667 Au
-0.2442 -2.3770 1.7221 Au
3.7689 -4.8331 -0.6544 Au
2.7789 -4.8301 2.6344 Au
0.7532 -4.9612 0.2313 Au
```

SG: No. 123
Calculated formation energy, eV per formula unit: -1.12
Total DFT energy (no corrections), eV per atom: -3.960


Entry 3:
The following is a DFT calculation (PBE-GGA) of an optimized crystal structure of Sm6CdAg.

Structure (POSCAR):
```
Sm6CdAg
1.0
9.0500 0.0086 0.0877
4.5222 7.2482 -0.1589
4.4887 2.3198 3.6362
Sm Cd Ag
6 1 1
Cartesian
5.7361 5.0474 2.7280 Sm
14.4638 8.7366 2.5416 Sm
6.8828 2.2003 0.6486 Sm
3.5972 0.8400 1.0235 Sm
12.3249 4.5292 0.8370 Sm
11.1782 7.3763 2.9165 Sm
9.0305 4.7883 1.7825 Cd
0.0000 0.0000 0.0000 Ag
```

SG: No. 148
Calculated formation energy, eV per formula unit: -0.31
Total DFT energy (no corrections), eV per atom: -4.049
E above lowest polymorph, eV per atom: 0.089


Entry 4:
The following is a DFT calculation (PBE-GGA) of an optimized crystal structure of Nd3SiHg2Rh3.

Structure (POSCAR):
```
Nd3SiHg2Rh3
1.0
-0.6893 -1.5110 3.3007
-6.7913 -2.7876 -2.6944
6.5064 -4.2954 -0.6076
Nd Si Hg Rh
3 1 2 3
Cartesian
2.4478 -1.6160 -0.2286 Nd
-0.1777 -4.4183 -2.0597 Nd
-2.5550 -1.0487 -1.0137 Nd
0.0000 0.0000 0.0000 Si
1.7292 -4.5483 0.3472 Hg
-2.7034 -4.0457 -0.3484 Hg
-5.6778 -2.9446 -0.4655 Rh
-0.4058 -2.2764 0.9414 Rh
4.7647 -4.1286 1.1733 Rh
```

Formation energy without anion corrections, eV/atom: -0.613
SG: No. 189
Total DFT energy (no corrections), eV per atom: -5.323


Entry 5:
The following is a DFT calculation (PBE-GGA) of an optimized crystal structure of CeY2Er3Tm6.

Structure (POSCAR):
```
CeY2Er3Tm6
1.0
-3.8488 -0.0662 -4.7080
0.3300 -4.7990 3.7207
-6.9911 6.1832 6.9381
Ce Y Er Tm
1 2 3 6
Cartesian
0.0000 0.0000 0.0000 Ce
-1.0630 -3.2213 0.9109 Y
-2.4558 -1.6439 -1.8982 Y
-3.8652 -0.9150 5.7785 Er
-6.6447 2.2330 0.1723 Er
-5.2550 0.6590 2.9754 Er
-8.5639 1.7594 3.0584 Tm
-4.4116 -2.1088 1.0031 Tm
-1.9461 -0.4414 2.8924 Tm
-7.1821 0.1944 5.8454 Tm
-6.0983 3.4268 4.9476 Tm
-3.3279 1.1236 0.1054 Tm
```

SG: No. 12
Calculated formation energy, eV per formula unit: 0.51
Total DFT energy (no corrections), eV per atom: -4.905


Entry 6:
The following is a DFT calculation (PBE-GGA) of an optimized crystal structure of V2Re2Sn.

Structure (POSCAR):
```
V2Re2Sn
1.0
-0.8882 0.9120 3.8471
-3.2660 -2.3916 -0.1871
0.8864 -4.9178 3.5046
Re Sn V
2 1 2
Cartesian
-1.3793 -1.7236 2.2244 Re
-1.8885 -4.6737 4.9404 Re
0.0000 0.0000 0.0000 Sn
-1.0394 -2.3728 4.5909 V
-2.2283 -4.0245 2.5738 V
```

SG: No. 139
Calculated formation energy, eV per formula unit: 1.71
Total DFT energy (no corrections), eV per atom: -9.085
E above lowest polymorph, eV per atom: 0.065